This record from Alexandria describes P3RhBr after structural relaxation. The functional is GGA-PBE.

Output
ΔE_f (raw)   0.70 eV/atom
Distance to the lowest polymorph of the same formula   0.000 eV per atom
Uncorrected energy   -4.346 eV/atom

a = 4.672 Å, b = 4.672 Å, c = 4.672 Å
α = 90.00°, β = 90.00°, γ = 90.00°
Sites, in units of the cell vectors:
Br  0.500  0.500  0.500
Rh  0.000  0.000  0.000
P  0.500  0.000  0.000
P  0.000  0.000  0.500
P  0.000  0.500  0.000

---

This record from Alexandria describes PRh2Br after structural relaxation. The functional is GGA-PBE.

Output
ΔE_f (raw)   0.48 eV/atom
Distance to the lowest polymorph of the same formula   0.866 eV per atom
Uncorrected energy   -4.970 eV/atom

a = 3.009 Å, b = 5.579 Å, c = 3.995 Å
α = 90.00°, β = 90.00°, γ = 90.00°
Sites, in units of the cell vectors:
P  0.000  0.500  0.500
Br  0.500  0.000  0.500
Rh  0.000  0.000  0.000
Rh  0.500  0.500  0.000

---

This record from Alexandria describes PRh2Br after structural relaxation. The functional is GGA-PBE.

Output
ΔE_f (raw)   0.32 eV/atom
Distance to the lowest polymorph of the same formula   0.713 eV per atom
Uncorrected energy   -5.123 eV/atom

a = 4.421 Å, b = 4.421 Å, c = 4.421 Å
α = 60.00°, β = 60.00°, γ = 60.00°
Sites, in units of the cell vectors:
Rh  0.250  0.250  0.250
Rh  0.750  0.750  0.750
P  0.000  0.000  0.000
Br  0.500  0.500  0.500

---

This record from Alexandria describes PRh2Br after structural relaxation. The functional is GGA-PBE.

Output
ΔE_f (raw)   -0.08 eV/atom
Distance to the lowest polymorph of the same formula   0.313 eV per atom
Uncorrected energy   -5.524 eV/atom

a = 5.196 Å, b = 5.196 Å, c = 7.100 Å
α = 68.54°, β = 68.54°, γ = 90.00°
Sites, in units of the cell vectors:
Rh  0.191  0.625  0.250
Rh  0.559  0.125  0.250
Br  0.750  0.250  0.500
Rh  0.375  0.441  0.750
Br  0.000  0.000  0.000
P  0.250  0.750  0.500
P  0.500  0.500  0.000
Rh  0.875  0.809  0.750

---

This record from Alexandria describes PRh2Br after structural relaxation. The functional is GGA-PBE.

Output
ΔE_f (raw)   -0.08 eV/atom
Distance to the lowest polymorph of the same formula   0.312 eV per atom
Uncorrected energy   -5.524 eV/atom

a = 3.421 Å, b = 3.421 Å, c = 7.159 Å
α = 90.00°, β = 90.00°, γ = 119.70°
Sites, in units of the cell vectors:
Br  0.500  0.500  0.250
Rh  0.000  0.000  0.555
P  0.500  0.500  0.750
Rh  0.000  0.000  0.945

---

This record from Alexandria describes PRh2Br after structural relaxation. The functional is GGA-PBE.

Output
ΔE_f (raw)   -0.10 eV/atom
Distance to the lowest polymorph of the same formula   0.285 eV per atom
Uncorrected energy   -5.551 eV/atom

a = 3.144 Å, b = 2.953 Å, c = 7.161 Å
α = 93.64°, β = 90.00°, γ = 90.00°
Sites, in units of the cell vectors:
Rh  0.000  0.173  0.931
Br  0.500  0.250  0.250
P  0.500  0.750  0.750
Rh  0.000  0.327  0.569